(1)
# EuNiAgSn (GGA-PBE, relaxed)
# energy of formation from the pure elements	-0.187	eV per atom
# mass density	8.76	Mg/m³
data_EuNiAgSn
_cell_length_a 6.922
_cell_length_b 6.922
_cell_length_c 6.922
_cell_angle_alpha 90.00
_cell_angle_beta 90.00
_cell_angle_gamma 90.00
_space_group_name_H-M_alt 'F -4 3 m'
_space_group_IT_number 216
_space_group_name_Hall 'F -4 2 3'
loop_
_atom_site_label
_atom_site_type_symbol
_atom_site_fract_x
_atom_site_fract_y
_atom_site_fract_z
Eu1 Eu 0.000 0.000 0.000
Ni1 Ni 0.250 0.250 0.250
Ag1 Ag 0.250 0.250 0.750
Sn1 Sn 0.000 0.000 0.500

=====

(2)
# KIn2S3 (GGA-PBE, relaxed)
# raw formation energy	-0.67	eV per atom
# mass density	3.84	Mg/m³
data_KIn2S3
_cell_length_a 3.793
_cell_length_b 11.709
_cell_length_c 7.103
_cell_angle_alpha 90.00
_cell_angle_beta 90.00
_cell_angle_gamma 90.00
_space_group_name_H-M_alt 'P m c 21'
_space_group_IT_number 26
loop_
_space_group_symop_operation_xyz
'x,y,z'
'-x,-y,z+1/2'
'-x,y,z'
'x,-y,z+1/2'
loop_
_atom_site_label
_atom_site_type_symbol
_atom_site_fract_x
_atom_site_fract_y
_atom_site_fract_z
K1 K 0.000 0.100 0.000
In1 In 0.000 0.243 0.493
In2 In 0.500 0.451 0.989
S1 S 0.000 0.430 0.687
S2 S 0.500 0.120 0.635
S3 S 0.500 0.279 0.235

=====

(3)
# CaFeIr2 (GGA-PBE, relaxed)
# polymorph energy (0 for the lowest one)	385	meV per atom
# energy of formation from the pure elements	0.380	eV per atom
# mass density	11.37	Mg/m³
data_CaFeIr2
_cell_length_a 7.325
_cell_length_b 7.325
_cell_length_c 5.229
_cell_angle_alpha 90.00
_cell_angle_beta 90.00
_cell_angle_gamma 90.00
_space_group_name_H-M_alt 'I -4 2 d'
_space_group_IT_number 122
_space_group_name_Hall 'I -4 2bw'
loop_
_atom_site_label
_atom_site_type_symbol
_atom_site_fract_x
_atom_site_fract_y
_atom_site_fract_z
Ca1 Ca 0.000 0.000 0.000
Fe1 Fe 0.000 0.000 0.500
Ir1 Ir 0.183 0.250 0.625

=====

(4)
# NaZrOF2 (GGA-PBE, relaxed)
# polymorph energy (0 for the lowest one)	0	meV per atom
# raw formation energy	-2.69	eV per atom
# mass density	3.51	Mg/m³
data_NaZrOF2
_cell_length_a 4.395
_cell_length_b 4.395
_cell_length_c 4.118
_cell_angle_alpha 90.00
_cell_angle_beta 90.00
_cell_angle_gamma 90.00
_space_group_name_H-M_alt 'P 4/m m m'
_space_group_IT_number 123
_space_group_name_Hall '-P 4 2'
loop_
_atom_site_label
_atom_site_type_symbol
_atom_site_fract_x
_atom_site_fract_y
_atom_site_fract_z
Na1 Na 0.000 0.000 0.000
Zr1 Zr 0.500 0.500 0.500
O1 O 0.500 0.500 0.000
F1 F 0.000 0.500 0.500